Here is crystalline LaNbTe2Os at its relaxed geometry from Alexandria. Energies are from PBE.

Properties
uncorrected energy = -4.771 eV/atom

Cell lengths 5.877, 5.877, 4.851 Å; angles 90.00, 90.00, 90.00 degrees
Space group P4/mmm (No. 123)
Symmetry-distinct sites (fractional):
La 0.000 0.000 0.000 [1 per cell]
Nb 0.500 0.500 0.500 [1 per cell]
Te 0.000 0.500 0.000 [2 per cell]
Os 0.000 0.000 0.500 [1 per cell]